Entry a
# SbPRu2 (PBE, relaxed)
# * calculated volume: 131.3 Å³/cell
# * total moment: 0.00 μB/atom
data_SbPRu2
_chemical_formula_sum 'Sb2 P2 Ru4'
_cell_length_a 6.009
_cell_length_b 8.195
_cell_length_c 3.099
_cell_angle_alpha 90.00
_cell_angle_beta 120.61
_cell_angle_gamma 90.00
_symmetry_space_group_name_H-M 'C 1 2/m 1'
_symmetry_Int_Tables_number 12
loop_
_symmetry_equiv_pos_as_xyz
'x,y,z'
'-x,-y,-z'
'-x,y,-z'
'x,-y,z'
'x+1/2,y+1/2,z'
'-x+1/2,-y+1/2,-z'
'-x+1/2,y+1/2,-z'
'x+1/2,-y+1/2,z'
loop_
_atom_site_label
_atom_site_type_symbol
_atom_site_fract_x
_atom_site_fract_y
_atom_site_fract_z
Sb1 Sb 0.000 0.000 0.000
P1 P 0.000 0.500 0.000
Ru1 Ru 0.250 0.250 0.500


Entry b
# SbPRu2 (PBE, relaxed)
# * calculated volume: 188.6 Å³/cell
# * total moment: 0.00 μB/atom
data_SbPRu2
_chemical_formula_sum 'Sb3 P3 Ru6'
_cell_length_a 3.0722
_cell_length_b 3.0722
_cell_length_c 23.0783
_cell_angle_alpha 90.00
_cell_angle_beta 90.00
_cell_angle_gamma 120.00
_symmetry_space_group_name_H-M 'R -3 m'
_symmetry_Int_Tables_number 166
_symmetry_space_group_name_Hall '-R 3 2"'
loop_
_atom_site_label
_atom_site_type_symbol
_atom_site_fract_x
_atom_site_fract_y
_atom_site_fract_z
Sb1 Sb 0.0000 0.0000 0.0000
P1 P 0.0000 0.0000 0.5000
Ru1 Ru 0.0000 0.0000 0.2381


Entry c
# SbPRu2 (PBE, relaxed)
# * calculated volume: 205.6 Å³/cell
# * total moment: 0.00 μB/atom
data_SbPRu2
_chemical_formula_sum 'Sb3 P3 Ru6'
_cell_length_a 3.1484
_cell_length_b 3.1484
_cell_length_c 23.9453
_cell_angle_alpha 90.00
_cell_angle_beta 90.00
_cell_angle_gamma 120.00
_symmetry_space_group_name_H-M 'R 3 m'
_symmetry_Int_Tables_number 160
_symmetry_space_group_name_Hall 'R 3 -2"'
loop_
_atom_site_label
_atom_site_type_symbol
_atom_site_fract_x
_atom_site_fract_y
_atom_site_fract_z
Sb1 Sb 0.0000 0.0000 0.0000
P1 P 0.0000 0.0000 0.7680
Ru1 Ru 0.0000 0.0000 0.2547
Ru2 Ru 0.0000 0.0000 0.4934


Among the structures above, stability is smallest for entry a.